(1)
Be4VTc: optimized geometry, PBE.

Calculated values
Its crystal system is cubic. The total energy comes out at -6.151 eV/atom.

Lattice parameters (Å, degrees): 4.3422 4.3422 4.3422 60.00 60.00 60.00
Last column: nearest neighbours and their distance in Å.
Positions (direct):
Be: 0.1252 0.1252 0.1252  6 Be 2.17-2.18
Be: 0.1252 0.1252 0.6243  6 Be 2.17-2.18
Be: 0.1252 0.6243 0.1252  6 Be 2.17-2.18
Be: 0.6243 0.1252 0.1252  6 Be 2.17-2.18
V: 0.7500 0.7500 0.7500  12 Be 2.55, 4 Tc 2.66
Tc: 0.5000 0.5000 0.5000  12 Be 2.55, 4 V 2.66

(2)
DyEr5Ag4: optimized geometry, PBE.

Calculated values
Its crystal system is tetragonal. The total energy comes out at -4.139 eV/atom.

Lattice parameters (Å, degrees): 3.5772 3.5772 19.5376 90.00 90.00 90.00
Last column: nearest neighbours and their distance in Å.
Positions (direct):
Dy: 0.0000 0.0000 0.0000  8 Er 3.53, 4 Dy 3.58
Er: 0.5000 0.5000 0.1259  4 Ag 3.12
Er: 0.5000 0.5000 0.3123  8 Ag 3.11-3.13
Er: 0.5000 0.5000 0.5000  8 Ag 3.12
Er: 0.5000 0.5000 0.6877  8 Ag 3.11-3.13
Er: 0.5000 0.5000 0.8741  4 Ag 3.12
Ag: 0.0000 0.0000 0.2193  8 Er 3.11-3.12
Ag: 0.0000 0.0000 0.4069  8 Er 3.12-3.13
Ag: 0.0000 0.0000 0.5931  8 Er 3.12-3.13
Ag: 0.0000 0.0000 0.7807  8 Er 3.11-3.12

(3)
CuSnOsC: optimized geometry, PBE.

Calculated values
The energy above the lowest structure with this stoichiometry comes out at 0.125 eV/atom. Its crystal system is trigonal.

Lattice parameters (Å, degrees): 3.3365 3.3365 19.6613 90.00 90.00 120.00
Last column: nearest neighbours and their distance in Å.
Positions (direct):
Cu: 0.0000 0.0000 0.0000  3 C 2.32, 1 Sn 2.56
Cu: 0.3333 0.6667 0.6667  3 C 2.32, 1 Sn 2.56
Cu: 0.6667 0.3333 0.3333  3 C 2.32, 1 Sn 2.56
Sn: 0.0000 0.0000 0.1302  1 Cu 2.56, 1 C 2.70, 3 Os 2.85
Sn: 0.3333 0.6667 0.7969  1 Cu 2.56, 1 C 2.70, 3 Os 2.85
Sn: 0.6667 0.3333 0.4636  1 Cu 2.56, 1 C 2.70, 3 Os 2.85
Os: 0.0000 0.0000 0.5707  3 C 2.02
Os: 0.3333 0.6667 0.2373  3 C 2.02
Os: 0.6667 0.3333 0.9040  3 C 2.02
C: 0.0000 0.0000 0.2675  3 Os 2.02
C: 0.3333 0.6667 0.9342  3 Os 2.02
C: 0.6667 0.3333 0.6008  3 Os 2.02

(4)
YMnW2: optimized geometry, PBE.

Calculated values
The energy above the lowest structure with this stoichiometry comes out at 0.332 eV/atom. Its crystal system is trigonal.

Lattice parameters (Å, degrees): 2.9731 2.9731 27.4889 90.00 90.00 120.00
Last column: nearest neighbours and their distance in Å.
Positions (direct):
Y: 0.0000 0.0000 0.0000  6 Y 2.97, 6 W 3.16
Y: 0.3333 0.6667 0.6667  6 Y 2.97, 6 W 3.16
Y: 0.6667 0.3333 0.3333  6 Y 2.97, 6 W 3.16
Mn: 0.0000 0.0000 0.5000  6 W 2.58
Mn: 0.3333 0.6667 0.1667  6 W 2.58
Mn: 0.6667 0.3333 0.8333  6 W 2.58
W: 0.0000 0.0000 0.2367  3 Mn 2.58
W: 0.0000 0.0000 0.7633  3 Mn 2.58
W: 0.3333 0.6667 0.4300  3 Mn 2.58
W: 0.3333 0.6667 0.9033  3 Mn 2.58
W: 0.6667 0.3333 0.0967  3 Mn 2.58
W: 0.6667 0.3333 0.5700  3 Mn 2.58

The records above yield magnetization values of 0.0, 0.0, 0.0, 1.2 μB/f.u., respectively.
The records above yield mass density values of 5.31, 9.50, 10.10, 12.11 g/cm³, respectively.